The following is a DFT calculation (GGA-PBE) of a geometry-optimized ZnFeCuRu structure.

abc: 5.9452 5.9452 5.9452
angles: 90.00 90.00 90.00
Space group F-43m (No. 216)
Symmetry-distinct sites (fractional):
Zn1 0.0000 0.0000 0.0000 (multiplicity 4)
Fe1 0.0000 0.0000 0.5000 (multiplicity 4)
Cu1 0.2500 0.2500 0.2500 (multiplicity 4)
Ru1 0.2500 0.2500 0.7500 (multiplicity 4)

Results
Its formation energy is 0.095 eV per atom. The crystal system is cubic.